Density functional theory data (PBE) for an optimized crystal structure of Li2Cd3Au4.

```
data_Li2Cd3Au4
_cell_length_a 3.9855
_cell_length_b 5.1097
_cell_length_c 9.1027
_cell_angle_alpha 96.37
_cell_angle_beta 102.59
_cell_angle_gamma 112.83
_space_group_name_H-M_alt 'P -1'
_space_group_IT_number 2
loop_
_space_group_symop_operation_xyz
'x,y,z'
'-x,-y,-z'
loop_
_atom_site_label
_atom_site_fract_x
_atom_site_fract_y
_atom_site_fract_z
Li1 0.0394 0.3674 0.2135
Cd1 0.4007 0.7367 0.5641
Cd2 0.5000 0.5000 0.0000
Au1 0.1924 0.2059 0.6754
Au2 0.2784 0.9479 0.1123
```

The density of states at the Fermi level is 2.2 states/eV/cell. The calculation puts the mass density at 11.6 Mg/m³. Its energy above the lowest structure with this stoichiometry is 0.000 eV per atom. The total moment comes out at 0.00 Bohr magnetons per cell.

---

Density functional theory data (PBE) for an optimized crystal structure of LiCdAu2.

```
data_LiCdAu2
_cell_length_a 4.1137
_cell_length_b 4.1137
_cell_length_c 8.3888
_cell_angle_alpha 90.00
_cell_angle_beta 90.00
_cell_angle_gamma 90.00
_space_group_name_H-M_alt 'I -4 m 2'
_space_group_IT_number 119
_space_group_name_Hall 'I -4 -2'
loop_
_atom_site_label
_atom_site_fract_x
_atom_site_fract_y
_atom_site_fract_z
Li1 0.0000 0.0000 0.0000
Cd1 0.0000 0.5000 0.7500
Au1 0.0000 0.0000 0.5000
Au2 0.0000 0.5000 0.2500
```

The density of states at the Fermi level is 2.4 states/eV/cell. The calculation puts the mass density at 12.0 Mg/m³. The total moment comes out at 0.00 Bohr magnetons per cell. For the final energy, the calculation gives -2.732 eV per atom.

---

Density functional theory data (PBE) for an optimized crystal structure of Li2Cd4Au.

```
data_Li2Cd4Au
_cell_length_a 5.4974
_cell_length_b 9.5104
_cell_length_c 5.5668
_cell_angle_alpha 90.00
_cell_angle_beta 90.18
_cell_angle_gamma 90.00
_space_group_name_H-M_alt 'P 1 21/c 1'
_space_group_IT_number 14
loop_
_space_group_symop_operation_xyz
'x,y,z'
'-x,-y,-z'
'-x,y+1/2,-z+1/2'
'x,-y+1/2,z+1/2'
loop_
_atom_site_label
_atom_site_fract_x
_atom_site_fract_y
_atom_site_fract_z
Li1 0.2441 0.0256 0.0017
Cd1 0.0787 0.7497 0.2510
Cd2 0.4474 0.1615 0.4987
Au1 0.0000 0.0000 0.5000
```

The density of states at the Fermi level is 4.9 states/eV/cell. The calculation puts the mass density at 7.5 Mg/m³. The total moment comes out at 0.00 Bohr magnetons per cell. For the final energy, the calculation gives -1.715 eV per atom.

---

Density functional theory data (PBE) for an optimized crystal structure of Li2Cd5Au4.

```
data_Li2Cd5Au4
_cell_length_a 19.9651
_cell_length_b 3.1879
_cell_length_c 7.5800
_cell_angle_alpha 90.00
_cell_angle_beta 112.28
_cell_angle_gamma 90.00
_space_group_name_H-M_alt 'C 1 2/m 1'
_space_group_IT_number 12
loop_
_space_group_symop_operation_xyz
'x,y,z'
'-x,-y,-z'
'-x,y,-z'
'x,-y,z'
'x+1/2,y+1/2,z'
'-x+1/2,-y+1/2,-z'
'-x+1/2,y+1/2,-z'
'x+1/2,-y+1/2,z'
loop_
_atom_site_label
_atom_site_fract_x
_atom_site_fract_y
_atom_site_fract_z
Li1 0.0815 0.0000 0.0806
Cd1 0.0000 0.0000 0.5000
Cd2 0.1532 0.5000 0.8672
Cd3 0.1540 0.5000 0.4388
Au1 0.0005 0.5000 0.1937
Au2 0.2218 0.0000 0.2208
```

The density of states at the Fermi level is 7.8 states/eV/cell. The calculation puts the mass density at 10.1 Mg/m³. The total moment comes out at 0.00 Bohr magnetons per cell. For the final energy, the calculation gives -2.177 eV per atom.

---

Density functional theory data (PBE) for an optimized crystal structure of LiCd2Au9.

```
data_LiCd2Au9
_cell_length_a 4.1662
_cell_length_b 4.1662
_cell_length_c 12.4793
_cell_angle_alpha 90.00
_cell_angle_beta 90.00
_cell_angle_gamma 90.00
_space_group_name_H-M_alt 'P 4/m m m'
_space_group_IT_number 123
_space_group_name_Hall '-P 4 2'
loop_
_atom_site_label
_atom_site_fract_x
_atom_site_fract_y
_atom_site_fract_z
Li1 0.0000 0.0000 0.0000
Cd1 0.0000 0.0000 0.3291
Au1 0.0000 0.5000 0.1579
Au2 0.0000 0.5000 0.5000
Au3 0.5000 0.5000 0.0000
Au4 0.5000 0.5000 0.3279
```

The density of states at the Fermi level is 2.8 states/eV/cell. The calculation puts the mass density at 15.4 Mg/m³. The total moment comes out at 0.00 Bohr magnetons per cell. For the final energy, the calculation gives -2.969 eV per atom.

---

Density functional theory data (PBE) for an optimized crystal structure of Li2Cd3Au2.

```
data_Li2Cd3Au2
_cell_length_a 7.8960
_cell_length_b 4.6197
_cell_length_c 7.7898
_cell_angle_alpha 90.00
_cell_angle_beta 110.03
_cell_angle_gamma 90.00
_space_group_name_H-M_alt 'C 1 2/m 1'
_space_group_IT_number 12
loop_
_space_group_symop_operation_xyz
'x,y,z'
'-x,-y,-z'
'-x,y,-z'
'x,-y,z'
'x+1/2,y+1/2,z'
'-x+1/2,-y+1/2,-z'
'-x+1/2,y+1/2,-z'
'x+1/2,-y+1/2,z'
loop_
_atom_site_label
_atom_site_fract_x
_atom_site_fract_y
_atom_site_fract_z
Li1 0.1063 0.0000 0.3219
Cd1 0.0000 0.5000 0.5000
Cd2 0.1352 0.5000 0.8983
Au1 0.2375 0.0000 0.7087
```

The density of states at the Fermi level is 4.4 states/eV/cell. The calculation puts the mass density at 9.3 Mg/m³. Its energy above the lowest structure with this stoichiometry is 0.000 eV per atom. The total moment comes out at 0.00 Bohr magnetons per cell.

---

Density functional theory data (PBE) for an optimized crystal structure of Li2CdAu2.

```
data_Li2CdAu2
_cell_length_a 7.6621
_cell_length_b 7.6621
_cell_length_c 2.8751
_cell_angle_alpha 90.00
_cell_angle_beta 90.00
_cell_angle_gamma 90.00
_space_group_name_H-M_alt 'P 4/m b m'
_space_group_IT_number 127
_space_group_name_Hall '-P 4 2ab'
loop_
_atom_site_label
_atom_site_fract_x
_atom_site_fract_y
_atom_site_fract_z
Li1 0.1322 0.3678 0.0000
Cd1 0.0000 0.0000 0.0000
Au1 0.1616 0.6616 0.5000
```

The density of states at the Fermi level is 2.7 states/eV/cell. The calculation puts the mass density at 10.2 Mg/m³. Its energy above the lowest structure with this stoichiometry is 0.032 eV per atom. The total moment comes out at 0.00 Bohr magnetons per cell.

---

Density functional theory data (PBE) for an optimized crystal structure of LiCd5Au2.

```
data_LiCd5Au2
_cell_length_a 4.6911
_cell_length_b 4.6911
_cell_length_c 17.9470
_cell_angle_alpha 90.00
_cell_angle_beta 90.00
_cell_angle_gamma 120.00
_space_group_name_H-M_alt 'P 63/m m c'
_space_group_IT_number 194
_space_group_name_Hall '-P 6c 2c'
loop_
_atom_site_label
_atom_site_fract_x
_atom_site_fract_y
_atom_site_fract_z
Li1 0.3333 0.6667 0.2500
Cd1 0.0000 0.0000 0.1616
Cd2 0.3333 0.6667 0.5534
Cd3 0.3333 0.6667 0.7500
Au1 0.3333 0.6667 0.1048
```

The density of states at the Fermi level is 6.3 states/eV/cell. The calculation puts the mass density at 9.3 Mg/m³. The total moment comes out at 0.00 Bohr magnetons per cell. For the final energy, the calculation gives -1.804 eV per atom.

---

Density functional theory data (PBE) for an optimized crystal structure of LiMg2Cd2Au2.

```
data_LiMg2Cd2Au2
_cell_length_a 8.4664
_cell_length_b 4.6178
_cell_length_c 7.6888
_cell_angle_alpha 90.00
_cell_angle_beta 104.70
_cell_angle_gamma 90.00
_space_group_name_H-M_alt 'C 1 2/m 1'
_space_group_IT_number 12
loop_
_space_group_symop_operation_xyz
'x,y,z'
'-x,-y,-z'
'-x,y,-z'
'x,-y,z'
'x+1/2,y+1/2,z'
'-x+1/2,-y+1/2,-z'
'-x+1/2,y+1/2,-z'
'x+1/2,-y+1/2,z'
loop_
_atom_site_label
_atom_site_fract_x
_atom_site_fract_y
_atom_site_fract_z
Li1 0.0000 0.0000 0.0000
Mg1 0.2150 0.5000 0.3385
Cd1 0.1548 0.5000 0.8505
Au1 0.0470 0.0000 0.3339
```

The density of states at the Fermi level is 4.8 states/eV/cell. The calculation puts the mass density at 7.7 Mg/m³. The total moment comes out at 0.00 Bohr magnetons per cell. For the final energy, the calculation gives -2.252 eV per atom.

---

Density functional theory data (PBE) for an optimized crystal structure of LiMg2Cd2Au5.

```
data_LiMg2Cd2Au5
_cell_length_a 10.1618
_cell_length_b 10.1618
_cell_length_c 3.7660
_cell_angle_alpha 90.00
_cell_angle_beta 90.00
_cell_angle_gamma 90.00
_space_group_name_H-M_alt 'P 4/m b m'
_space_group_IT_number 127
_space_group_name_Hall '-P 4 2ab'
loop_
_atom_site_label
_atom_site_fract_x
_atom_site_fract_y
_atom_site_fract_z
Li1 0.0000 0.0000 0.0000
Mg1 0.1417 0.3583 0.0000
Cd1 0.1546 0.6546 0.0000
Au1 0.0000 0.5000 0.5000
Au2 0.1247 0.1566 0.5000
```

The density of states at the Fermi level is 7.1 states/eV/cell. The calculation puts the mass density at 10.8 Mg/m³. The total moment comes out at 0.00 Bohr magnetons per cell. For the final energy, the calculation gives -2.634 eV per atom.